! Mg2AlCl (PBE, optimized geometry); values from VASP
! Crystal system: orthorhombic
! Relative energy among the computed polymorphs, meV/atom: 123
! Spin magnetization, μB/cell: 0.000
! Formation energy without anion corrections, meV/atom: -375
! Uncorrected energy, eV/f.u.: -10.28
&SYSTEM
  ibrav = 0, nat = 4, ntyp = 3
/
ATOMIC_SPECIES
Al 26.98 Al.upf
Cl 35.45 Cl.upf
Mg 24.30 Mg.upf
ATOMIC_POSITIONS angstrom
Al 1.665 1.592 1.939
Cl 1.665 1.592 5.816
Mg 0.000 0.000 0.093
Mg 0.000 0.000 3.784
CELL_PARAMETERS angstrom
3.331 0.000 0.000
0.000 3.183 0.000
0.000 0.000 7.754